[1]
# La8Er4Tm, optimized geometry, DFT PBE
# Energy relative to the elements = 413 meV per atom
data_La8Er4Tm
_chemical_formula_sum 'La24 Er12 Tm3'
_cell_length_a 11.2322
_cell_length_b 11.2322
_cell_length_c 13.7263
_cell_angle_alpha 90.00
_cell_angle_beta 90.00
_cell_angle_gamma 120.00
_space_group_name_H-M_alt 'R -3 m'
_space_group_IT_number 166
_space_group_name_Hall '-R 3 2"'
loop_
_atom_site_label
_atom_site_type_symbol
_atom_site_fract_x
_atom_site_fract_y
_atom_site_fract_z
La1 La 0.0000 0.0000 0.2399
La2 La 0.0130 0.5065 0.7462
Er1 Er 0.0000 0.0000 0.0000
Er2 Er 0.0000 0.5000 0.0000
Tm1 Tm 0.0000 0.0000 0.5000


[2]
# La2Er7Tm, optimized geometry, DFT PBE
# Energy relative to the elements = 29 meV per atom
data_La2Er7Tm
_chemical_formula_sum 'La2 Er7 Tm1'
_cell_length_a 6.136
_cell_length_b 6.154
_cell_length_c 9.411
_cell_angle_alpha 109.02
_cell_angle_beta 102.41
_cell_angle_gamma 99.74
_space_group_name_H-M_alt 'P -1'
_space_group_IT_number 2
loop_
_space_group_symop_operation_xyz
'x,y,z'
'-x,-y,-z'
loop_
_atom_site_label
_atom_site_type_symbol
_atom_site_fract_x
_atom_site_fract_y
_atom_site_fract_z
La1 La 0.100 0.200 0.202
Er1 Er 0.201 0.401 0.900
Er2 Er 0.300 0.598 0.599
Er3 Er 0.403 0.802 0.301
Er4 Er 0.500 0.000 0.000
Tm1 Tm 0.000 0.000 0.500


[3]
# LaEr2Tm, optimized geometry, DFT PBE
# Energy relative to the elements = 103 meV per atom
# Energy relative to the lowest polymorph listed for this composition = 93 meV per atom
data_LaEr2Tm
_chemical_formula_sum 'La1 Er2 Tm1'
_cell_length_a 4.001
_cell_length_b 4.001
_cell_length_c 8.204
_cell_angle_alpha 90.00
_cell_angle_beta 90.00
_cell_angle_gamma 90.00
_space_group_name_H-M_alt 'P 4/m m m'
_space_group_IT_number 123
_space_group_name_Hall '-P 4 2'
loop_
_atom_site_label
_atom_site_type_symbol
_atom_site_fract_x
_atom_site_fract_y
_atom_site_fract_z
La1 La 0.000 0.000 0.000
Er1 Er 0.500 0.500 0.272
Tm1 Tm 0.000 0.000 0.500


[4]
# La5Er3Tm2, optimized geometry, DFT PBE
# Energy relative to the elements = 161 meV per atom
data_La5Er3Tm2
_chemical_formula_sum 'La20 Er12 Tm8'
_cell_length_a 10.822
_cell_length_b 14.846
_cell_length_c 10.138
_cell_angle_alpha 90.00
_cell_angle_beta 122.20
_cell_angle_gamma 90.00
_space_group_name_H-M_alt 'C 1 2/c 1'
_space_group_IT_number 15
loop_
_space_group_symop_operation_xyz
'x,y,z'
'-x,-y,-z'
'-x,y,-z+1/2'
'x,-y,z+1/2'
'x+1/2,y+1/2,z'
'-x+1/2,-y+1/2,-z'
'-x+1/2,y+1/2,-z+1/2'
'x+1/2,-y+1/2,z+1/2'
loop_
_atom_site_label
_atom_site_type_symbol
_atom_site_fract_x
_atom_site_fract_y
_atom_site_fract_z
La1 La 0.000 0.018 0.250
La2 La 0.000 0.227 0.250
La3 La 0.000 0.476 0.750
La4 La 0.248 0.368 0.243
Er1 Er 0.000 0.270 0.750
Er2 Er 0.154 0.374 0.560
Tm1 Tm 0.156 0.131 0.062


| no. | theoretical density (Mg/m³) |
| --- | --- |
| 1 | 6.5 |
| 2 | 8.5 |
| 3 | 8.1 |
| 4 | 7.4 |